No. 1
PRhSe2 | PBE | optimized geometry

```
PRhSe2
1.0
-2.602 2.602 2.568
2.602 -2.602 2.568
2.602 2.602 -2.568
P Rh Se
1 1 2
Direct
0.000 0.000 0.000
0.500 0.500 0.000
0.000 0.500 0.500
0.500 0.000 0.500
```

Properties
Energy ... -4.910 eV/atom
Energy relative to the elements, uncorrected ... 0.0230 eV per atom
Spin magnetization ... 0.0 μB/f.u.
Space-group type ... I4/mmm, No. 139

No. 2
P2RhSe | PBE | optimized geometry

```
P2RhSe
1.0
-2.600 1.392 -2.487
0.135 -0.150 -3.853
-3.343 -5.145 -0.884
P Rh Se
2 1 1
Direct
0.071 0.071 0.009
0.209 0.209 0.300
0.504 0.504 0.446
0.716 0.716 0.745
```

Properties
Energy ... -5.508 eV/atom
Energy relative to the elements, uncorrected ... -0.0937 eV per atom
Spin magnetization ... 0.0 μB/f.u.
Space-group type ... Cm, No. 8

Which of these has the highest energy relative to the elements, uncorrected? PRhSe2

Which of these has the lowest energy relative to the elements, uncorrected? P2RhSe

Look up the spin magnetization of the second one. 0.0 μB/f.u.